# 1
Compound: NaGaRh
Source: Alexandria
Functional: PBE
Structure: relaxed

Cell lengths 4.405, 4.405, 6.479 Å; angles 90.00, 90.00, 90.00 degrees
Element x y z (fractional)
Na1 0.250 0.250 0.167
Na2 0.750 0.750 0.833
Ga1 0.250 0.250 0.667
Ga2 0.750 0.750 0.333
Rh1 0.250 0.750 0.500
Rh2 0.750 0.250 0.500

Values from the calculation:
- ΔE_f (meV/atom) = -348
- D(E_F) (states/eV per cell) = 2.07

# 2
Compound: NaGaRh2
Source: Alexandria
Functional: PBE
Structure: relaxed

Cell lengths 5.773, 5.773, 5.773 Å; angles 102.45, 102.45, 124.67 degrees
Element x y z (fractional)
Na1 0.000 0.000 0.000
Na2 0.750 0.250 0.500
Ga1 0.250 0.750 0.500
Ga2 0.500 0.500 0.000
Rh1 0.176 0.625 0.051
Rh2 0.375 0.426 0.551
Rh3 0.574 0.125 0.949
Rh4 0.875 0.824 0.449

Values from the calculation:
- ΔE_f (meV/atom) = 154
- D(E_F) (states/eV per cell) = 3.85

# 3
Compound: Na3GaRh
Source: Alexandria
Functional: PBE
Structure: relaxed

Cell lengths 5.325, 5.325, 5.325 Å; angles 90.00, 90.00, 90.00 degrees
Element x y z (fractional)
Na1 0.000 0.000 0.500
Na2 0.000 0.500 0.000
Na3 0.500 0.000 0.000
Ga1 0.000 0.000 0.000
Rh1 0.500 0.500 0.500

Values from the calculation:
- ΔE_f (meV/atom) = 887
- D(E_F) (states/eV per cell) = 7.54
- E above lowest polymorph (eV/atom) = 0.290

# 4
Compound: Na4GaRh3S8
Source: Alexandria
Functional: PBE
Structure: relaxed

Cell lengths 7.625, 7.625, 7.625 Å; angles 57.03, 57.03, 57.03 degrees
Element x y z (fractional)
Na1 0.000 0.000 0.000
Na2 0.000 0.500 0.500
Na3 0.500 0.000 0.500
Na4 0.500 0.500 0.000
Ga1 0.500 0.500 0.500
Rh1 0.000 0.000 0.500
Rh2 0.000 0.500 0.000
Rh3 0.500 0.000 0.000
S1 0.224 0.736 0.736
S2 0.229 0.229 0.229
S3 0.264 0.264 0.776
S4 0.264 0.776 0.264
S5 0.736 0.224 0.736
S6 0.736 0.736 0.224
S7 0.771 0.771 0.771
S8 0.776 0.264 0.264

Values from the calculation:
- ΔE_f (raw) (kcal/mol of atoms) = -18.00

# 5
Compound: NaGaRhSe3
Source: Alexandria
Functional: PBE
Structure: relaxed

Cell lengths 7.826, 3.776, 10.452 Å; angles 90.00, 99.59, 90.00 degrees
Element x y z (fractional)
Na1 0.159 0.250 0.150
Na2 0.841 0.750 0.850
Ga1 0.103 0.250 0.615
Ga2 0.897 0.750 0.385
Rh1 0.369 0.750 0.879
Rh2 0.631 0.250 0.121
Se1 0.145 0.250 0.847
Se2 0.215 0.750 0.500
Se3 0.433 0.750 0.130
Se4 0.567 0.250 0.870
Se5 0.785 0.250 0.500
Se6 0.855 0.750 0.153

Values from the calculation:
- D(E_F) (states/eV per cell) = 1.95
- ΔE_f (raw) (kcal/mol of atoms) = -12.28

# 6
Compound: NaSr2GaRh
Source: Alexandria
Functional: PBE
Structure: relaxed

Cell lengths 5.861, 5.861, 4.897 Å; angles 90.00, 90.00, 90.00 degrees
Element x y z (fractional)
Na1 0.000 0.000 0.000
Sr1 0.000 0.500 0.500
Sr2 0.500 0.000 0.500
Ga1 0.500 0.500 0.000
Rh1 0.500 0.500 0.500

Values from the calculation:
- ΔE_f (meV/atom) = -254
- D(E_F) (states/eV per cell) = 2.65
- E above lowest polymorph (eV/atom) = 0.000

# 7
Compound: NaSr2GaRh
Source: Alexandria
Functional: PBE
Structure: relaxed

Cell lengths 5.674, 5.674, 5.409 Å; angles 90.00, 90.00, 90.00 degrees
Element x y z (fractional)
Na1 0.000 0.000 0.000
Sr1 0.000 0.500 0.500
Sr2 0.500 0.000 0.500
Ga1 0.500 0.500 0.000
Rh1 0.000 0.000 0.500

Values from the calculation:
- ΔE_f (meV/atom) = 103
- D(E_F) (states/eV per cell) = 3.74
- E above lowest polymorph (eV/atom) = 0.356

# 8
Compound: NaZn2GaRh
Source: Alexandria
Functional: PBE
Structure: relaxed

Cell lengths 4.869, 4.869, 4.726 Å; angles 90.00, 90.00, 90.00 degrees
Element x y z (fractional)
Na1 0.000 0.000 0.000
Zn1 0.000 0.500 0.500
Zn2 0.500 0.000 0.500
Ga1 0.500 0.500 0.000
Rh1 0.500 0.500 0.500

Values from the calculation:
- ΔE_f (meV/atom) = -190
- D(E_F) (states/eV per cell) = 1.27
- E above lowest polymorph (eV/atom) = 0.000

Summary of final energy in eV per atom
-4.247 -4.608 -1.981 -4.742 -4.224 -3.266 -2.910 -3.039
(order as listed above)